A relaxed CaNbSb crystal. Source: the Alexandria database, functional PBE-GGA.

Computed properties:
For the raw formation energy, the calculation gives -0.23 eV per atom.

Cell: 7.983 4.939 10.428 Å, 90.00 129.96 90.00°
Positions (direct):
Sb  0.744  0.000  0.809
Sb  0.256  0.000  0.191
Sb  0.744  0.500  0.309
Sb  0.256  0.500  0.691
Nb  0.429  0.000  0.858
Nb  0.571  0.000  0.142
Nb  0.429  0.500  0.358
Nb  0.571  0.500  0.642
Ca  0.818  0.000  0.553
Ca  0.182  0.000  0.447
Ca  0.818  0.500  0.053
Ca  0.182  0.500  0.947